Li2FeF4 PBE+U relaxed; volume = 312.3 Å³ per cell; E_tot = -143.19 eV for the cell shown; Fermi-level density of states = 0.000 states/eV/atom; crystal system = orthorhombic; space group = Pna2_1; offset from the most stable computed form = 38.0 meV/atom; magnetic moment = 0.5714 μB/atom; mass density = 3.099 g/cm3
1.0
-1.572 -2.104 -4.763
-0.730 -5.320 2.591
-9.143 2.241 2.027
F Li Fe
16 8 4
Cartesian
-3.188 -2.509 -0.658
-9.831 -3.135 3.278
-5.617 -0.698 -1.733
-3.822 -5.573 -2.313
-8.320 -0.544 0.055
-5.530 -1.440 1.110
-5.441 -3.968 2.759
-1.427 -4.474 -1.448
-5.812 -3.606 -0.945
-4.525 -2.651 -3.372
-8.897 -3.532 -1.428
-3.748 -5.121 0.681
-7.617 -3.466 1.114
-1.511 -1.911 -3.113
-8.337 -0.919 -2.767
-9.631 -0.192 2.473
-5.506 -3.334 0.945
-4.105 -3.760 -1.855
-7.447 -1.567 1.384
-3.313 -1.204 -3.245
-8.239 -4.123 2.775
-6.339 -2.385 -2.305
-10.965 -4.001 -0.065
-0.881 -1.718 -1.295
-4.144 -0.659 -0.292
-7.502 -4.793 -0.463
-9.629 -1.523 -1.206
-2.017 -3.930 0.451